(1)
Density functional theory data (PBE) for a relaxed structure of KSnAu.

Cell and atoms, written as POSCAR:
```
KSnAu
1.0
0.0000 3.7163 3.7163
3.7163 0.0000 3.7163
3.7163 3.7163 0.0000
K Sn Au
1 1 1
Direct
0.0000 0.0000 0.0000 K
0.2500 0.2500 0.2500 Sn
0.7500 0.7500 0.7500 Au
```

Its total energy is -2.27 eV/atom. The space group is F-43m, No. 216.

(2)
Density functional theory data (PBE) for a relaxed structure of NbC.

Cell and atoms, written as POSCAR:
```
NbC
1.0
3.0650 0.0000 0.0000
-1.5325 2.6544 0.0000
0.0000 0.0000 2.8899
Nb C
1 1
Direct
0.0000 0.0000 0.0000 Nb
0.6667 0.3333 0.5000 C
```

Its total magnetization is 0.015 μB per formula unit. For the relative energy among the computed polymorphs, the calculation gives 401.0 meV/atom. The space group is P-6m2, No. 187.

(3)
Density functional theory data (PBE) for a relaxed structure of YSb2Pd.

Cell and atoms, written as POSCAR:
```
YSb2Pd
1.0
0.0000 3.6248 3.6248
3.6248 0.0000 3.6248
3.6248 3.6248 0.0000
Y Sb Pd
1 2 1
Direct
0.0000 0.0000 0.0000 Y
0.2500 0.2500 0.2500 Sb
0.5000 0.5000 0.5000 Sb
0.7500 0.7500 0.7500 Pd
```

Its total energy is -5.37 eV/atom. Its total magnetization is 0.002 μB per formula unit. The space group is F-43m, No. 216.

(4)
Density functional theory data (PBE) for a relaxed structure of PrI2O.

Cell and atoms, written as POSCAR:
```
PrI2O
1.0
7.5579 -2.1633 0.0000
7.5579 2.1633 0.0000
-3.2236 0.0000 8.9788
Pr I O
2 4 2
Direct
0.0013 0.0013 0.2538 Pr
0.9987 0.9987 0.7462 Pr
0.1546 0.1546 0.0809 I
0.1604 0.1604 0.5878 I
0.8396 0.8396 0.4122 I
0.8454 0.8454 0.9191 I
0.4985 0.4985 0.7391 O
0.5015 0.5015 0.2609 O
```

Its total energy is -4.63 eV/atom. Its total magnetization is 0.002 μB per formula unit. The space group is C2/m, No. 12.

(5)
Density functional theory data (PBE) for a relaxed structure of AgTeO3.

Cell and atoms, written as POSCAR:
```
AgTeO3
1.0
2.8333 1.6358 5.2586
-2.8333 1.6358 5.2586
0.0000 -3.2716 5.2586
Ag Te O
2 2 6
Direct
0.1306 0.1306 0.1306 Ag
0.8694 0.8694 0.8694 Ag
0.3393 0.3393 0.3393 Te
0.6607 0.6607 0.6607 Te
0.0500 0.4671 0.6935 O
0.3065 0.9500 0.5329 O
0.4671 0.6935 0.0500 O
0.5329 0.3065 0.9500 O
0.6935 0.0500 0.4671 O
0.9500 0.5329 0.3065 O
```

Its total energy is -4.77 eV/atom. The space group is R-3, No. 148.

(6)
Density functional theory data (PBE) for a relaxed structure of Pt.

Cell and atoms, written as POSCAR:
```
Pt
1.0
4.5174 0.0000 0.0000
-2.2587 3.9122 0.0000
0.0000 0.0000 2.6984
Pt
3
Direct
0.0000 0.0000 0.0000 Pt
0.3333 0.6667 0.5000 Pt
0.6667 0.3333 0.5000 Pt
```

For the formation energy from the elements, the calculation gives 147.5 meV/atom. Its total magnetization is 0.184 μB per formula unit. For the relative energy among the computed polymorphs, the calculation gives 147.5 meV/atom. The space group is P6/mmm, No. 191.

(7)
Density functional theory data (PBE) for a relaxed structure of K3CdH5.

Cell and atoms, written as POSCAR:
```
K3CdH5
1.0
-3.7504 3.7504 5.8028
3.7504 -3.7504 5.8028
3.7504 3.7504 -5.8028
K Cd H
6 2 10
Direct
0.1805 0.6805 0.8610 K
0.2500 0.2500 0.0000 K
0.3195 0.1805 0.5000 K
0.6805 0.8195 0.5000 K
0.7500 0.7500 0.0000 K
0.8195 0.3195 0.1390 K
0.2500 0.7500 0.5000 Cd
0.7500 0.2500 0.5000 Cd
0.0000 0.0000 0.0000 H
0.0172 0.7908 0.5000 H
0.2092 0.7092 0.2264 H
0.2908 0.5172 0.5000 H
0.4828 0.9828 0.7736 H
0.5000 0.5000 0.0000 H
0.5172 0.0172 0.2264 H
0.7092 0.4828 0.5000 H
0.7908 0.2908 0.7736 H
0.9828 0.2092 0.5000 H
```

Its total energy is -2.51 eV/atom. The space group is I4/mcm, No. 140.

(8)
Density functional theory data (PBE) for a relaxed structure of MgFeHgW.

Cell and atoms, written as POSCAR:
```
MgFeHgW
1.0
0.0000 3.2073 3.2073
3.2073 0.0000 3.2073
3.2073 3.2073 0.0000
Mg Fe Hg W
1 1 1 1
Direct
0.0000 0.0000 0.0000 Mg
0.7500 0.7500 0.7500 Fe
0.2500 0.2500 0.2500 Hg
0.5000 0.5000 0.5000 W
```

Its total magnetization is 0.995 μB per formula unit. For the relative energy among the computed polymorphs, the calculation gives 26.1 meV/atom. The space group is F-43m, No. 216.